[1]
This record from the Alexandria database describes an optimized crystal structure of LiPuSnF6. The functional is PBE.

Cell lengths 5.762, 5.762, 10.181 Å; angles 90.00, 90.00, 120.00 degrees
Positions (direct):
Li: 0.333 0.667 0.250
Li: 0.667 0.333 0.750
Pu: 0.667 0.333 0.250
Pu: 0.333 0.667 0.750
Sn: 0.000 0.000 0.000
Sn: 0.000 0.000 0.500
F: 0.641 0.666 0.137
F: 0.025 0.359 0.137
F: 0.359 0.025 0.637
F: 0.975 0.641 0.863
F: 0.334 0.359 0.363
F: 0.025 0.666 0.363
F: 0.666 0.025 0.863
F: 0.641 0.975 0.363
F: 0.975 0.334 0.637
F: 0.334 0.975 0.137
F: 0.666 0.641 0.637
F: 0.359 0.334 0.863

Formation energy from raw total energies = -26.45 eV/f.u.
Space-group type = P-31c (163)


[2]
This record from the Alexandria database describes an optimized crystal structure of TbErTc. The functional is PBE.

Cell lengths 3.464, 3.464, 6.649 Å; angles 105.10, 105.10, 90.00 degrees
Positions (direct):
Tb: 0.035 0.035 0.071
Tc: 0.668 0.668 0.336
Er: 0.297 0.297 0.593

Space-group type = I4mm (107)
Polymorph energy (0 for the lowest one) = 0.000 eV per atom


[3]
This record from the Alexandria database describes an optimized crystal structure of Nd5Ga2Te. The functional is PBE.

Cell lengths 8.419, 8.419, 8.866 Å; angles 118.35, 118.35, 90.00 degrees
Positions (direct):
Nd: 0.512 0.701 0.713
Nd: 0.799 0.988 0.287
Nd: 0.000 0.000 0.000
Nd: 0.500 0.500 0.000
Nd: 0.201 0.012 0.713
Nd: 0.701 0.201 0.713
Nd: 0.012 0.512 0.713
Nd: 0.299 0.799 0.287
Nd: 0.988 0.488 0.287
Nd: 0.488 0.299 0.287
Ga: 0.145 0.355 0.000
Ga: 0.645 0.145 0.000
Ga: 0.355 0.855 0.000
Ga: 0.855 0.645 0.000
Te: 0.750 0.750 0.500
Te: 0.250 0.250 0.500

Formation energy from raw total energies = -5.22 eV/f.u.
Space-group type = I4/mcm (140)


no.,D(E_F) (states/eV/f.u.),magnetization (μB per atom)
1,6.314,0.556
2,3.845,0.000
3,9.408,0.000